Sm5In4Ru, optimized geometry, DFT GGA-PBE; symmetry = No. 123; DFT formation energy = -446 meV per atom; final energy = -4.8281 eV/atom
1.0
3.5130 0.0000 0.0000
0.0000 3.5130 0.0000
0.0000 0.0000 21.6232
Sm In Ru
5 4 1
Direct
0.0000 0.0000 0.0000
0.0000 0.0000 0.2066
0.0000 0.0000 0.4217
0.0000 0.0000 0.5783
0.0000 0.0000 0.7934
0.5000 0.5000 0.1034
0.5000 0.5000 0.3107
0.5000 0.5000 0.6893
0.5000 0.5000 0.8966
0.5000 0.5000 0.5000

---

CaSeI2N, optimized geometry, DFT GGA-PBE; raw formation energy = 0.163 eV/atom; polymorph energy (0 for the lowest one) = 0.000 eV per atom; symmetry = No. 123; final energy = -3.2196 eV/atom
1.0
6.2133 0.0000 0.0000
0.0000 6.2133 0.0000
0.0000 0.0000 3.8057
Ca Se I N
1 1 2 1
Direct
0.0000 0.0000 0.0000
0.5000 0.5000 0.5000
0.0000 0.5000 0.5000
0.5000 0.0000 0.5000
0.5000 0.5000 0.0000

---

PrGa8Tc2, optimized geometry, DFT GGA-PBE; symmetry = No. 123; DFT formation energy = -38 meV per atom; final energy = -4.5588 eV/atom
1.0
6.4067 0.0000 0.0000
0.0000 6.4067 0.0000
0.0000 0.0000 5.3303
Pr Ga Tc
1 8 2
Direct
0.0000 0.0000 0.0000
0.2913 0.2913 0.2531
0.2913 0.2913 0.7469
0.2913 0.7087 0.2531
0.2913 0.7087 0.7469
0.7087 0.2913 0.2531
0.7087 0.2913 0.7469
0.7087 0.7087 0.2531
0.7087 0.7087 0.7469
0.0000 0.5000 0.5000
0.5000 0.0000 0.5000

---

Copy entry 3 word for word.
PrGa8Tc2, optimized geometry, DFT GGA-PBE; symmetry = No. 123; DFT formation energy = -38 meV per atom; final energy = -4.5588 eV/atom
1.0
6.4067 0.0000 0.0000
0.0000 6.4067 0.0000
0.0000 0.0000 5.3303
Pr Ga Tc
1 8 2
Direct
0.0000 0.0000 0.0000
0.2913 0.2913 0.2531
0.2913 0.2913 0.7469
0.2913 0.7087 0.2531
0.2913 0.7087 0.7469
0.7087 0.2913 0.2531
0.7087 0.2913 0.7469
0.7087 0.7087 0.2531
0.7087 0.7087 0.7469
0.0000 0.5000 0.5000
0.5000 0.0000 0.5000

---

> final energy of number 1 (Sm5In4Ru)?

-4.8281 eV/atom

---

> Look up the final energy of the second one.

-3.2196 eV/atom

---

> The highest final energy belongs to which entry?

CaSeI2N